Record 1
The following is a DFT calculation (GGA-PBE) of a relaxed Rb2TbYTe4 crystal.

Geometry as POSCAR:
```
Rb2TbYTe4
1.0
7.8531 0.0000 0.0000
0.0000 4.5361 0.0000
-2.6168 0.0000 8.5521
Rb Tb Y Te
2 1 1 4
Direct
0.0000 0.0000 0.0000 Rb
0.5000 0.5000 0.0000 Rb
0.0000 0.5000 0.5000 Tb
0.5000 0.0000 0.5000 Y
0.2338 0.0000 0.6999 Te
0.2674 0.5000 0.3003 Te
0.7326 0.5000 0.6997 Te
0.7662 0.0000 0.3001 Te
```

Values from the calculation:
**ΔE_f (raw)**: -1.396 eV per atom
**Space-group type**: P2/m, No. 10

=====

Record 2
The following is a DFT calculation (GGA-PBE) of a relaxed RbTb2Y3Te6 crystal.

Geometry as POSCAR:
```
RbTb2Y3Te6
1.0
9.7491 -2.1938 0.0000
9.7491 2.1938 0.0000
-2.2080 0.0000 8.8515
Rb Tb Y Te
1 2 3 6
Direct
0.0000 0.0000 0.0000 Rb
0.3292 0.3292 0.6533 Tb
0.6708 0.6708 0.3467 Tb
0.0000 0.0000 0.5000 Y
0.3399 0.3399 0.1824 Y
0.6601 0.6601 0.8176 Y
0.1651 0.1651 0.5834 Te
0.1773 0.1773 0.0878 Te
0.4957 0.4957 0.7271 Te
0.5043 0.5043 0.2729 Te
0.8227 0.8227 0.9122 Te
0.8349 0.8349 0.4166 Te
```

Values from the calculation:
**ΔE_f (raw)**: -1.286 eV per atom
**Space-group type**: C2/m, No. 12

=====

Record 3
The following is a DFT calculation (GGA-PBE) of a relaxed Rb3Tb3YTe8 crystal.

Geometry as POSCAR:
```
Rb3Tb3YTe8
1.0
4.4228 2.5535 8.8465
-4.4228 2.5535 8.8465
0.0000 -5.1070 8.8465
Rb Tb Y Te
3 3 1 8
Direct
0.0000 0.5000 0.5000 Rb
0.5000 0.0000 0.5000 Rb
0.5000 0.5000 0.0000 Rb
0.0000 0.0000 0.5000 Tb
0.0000 0.5000 0.0000 Tb
0.5000 0.0000 0.0000 Tb
0.5000 0.5000 0.5000 Y
0.2319 0.7340 0.7340 Te
0.2336 0.2336 0.2336 Te
0.2660 0.2660 0.7681 Te
0.2660 0.7681 0.2660 Te
0.7340 0.2319 0.7340 Te
0.7340 0.7340 0.2319 Te
0.7664 0.7664 0.7664 Te
0.7681 0.2660 0.2660 Te
```

Values from the calculation:
**ΔE_f (raw)**: -1.324 eV per atom
**Space-group type**: R-3m, No. 166

=====

Record 4
The following is a DFT calculation (GGA-PBE) of a relaxed Rb3TbY2Te6 crystal.

Geometry as POSCAR:
```
Rb3TbY2Te6
1.0
3.9252 -6.7986 0.0000
3.9252 6.7986 0.0000
-2.6170 0.0000 8.5524
Rb Tb Y Te
3 1 2 6
Direct
0.0000 0.0000 0.0000 Rb
0.3335 0.6665 0.0000 Rb
0.6665 0.3335 0.0000 Rb
0.5000 0.5000 0.5000 Tb
0.1667 0.8333 0.5000 Y
0.8333 0.1667 0.5000 Y
0.0994 0.4334 0.3002 Te
0.2326 0.2326 0.6997 Te
0.4334 0.0994 0.3002 Te
0.5666 0.9006 0.6998 Te
0.7674 0.7674 0.3003 Te
0.9006 0.5666 0.6998 Te
```

Values from the calculation:
**ΔE_f (raw)**: -1.397 eV per atom
**Space-group type**: C2/m, No. 12

=====

Record 5
The following is a DFT calculation (GGA-PBE) of a relaxed Rb4TbY3Te8 crystal.

Geometry as POSCAR:
```
Rb4TbY3Te8
1.0
4.5317 2.6164 8.5506
-4.5317 2.6164 8.5506
0.0000 -5.2328 8.5506
Rb Tb Y Te
4 1 3 8
Direct
0.0000 0.0000 0.0000 Rb
0.0000 0.5000 0.5000 Rb
0.5000 0.0000 0.5000 Rb
0.5000 0.5000 0.0000 Rb
0.5000 0.5000 0.5000 Tb
0.0000 0.0000 0.5000 Y
0.0000 0.5000 0.0000 Y
0.5000 0.0000 0.0000 Y
0.2332 0.2332 0.2332 Te
0.2328 0.7335 0.7335 Te
0.2665 0.2665 0.7672 Te
0.2665 0.7672 0.2665 Te
0.7335 0.2328 0.7335 Te
0.7335 0.7335 0.2328 Te
0.7672 0.2665 0.2665 Te
0.7668 0.7668 0.7668 Te
```

Values from the calculation:
**ΔE_f (raw)**: -1.398 eV per atom
**Space-group type**: R-3m, No. 166

=====

Record 6
The following is a DFT calculation (GGA-PBE) of a relaxed Rb4Tb3YTe8 crystal.

Geometry as POSCAR:
```
Rb4Tb3YTe8
1.0
4.5387 2.6204 8.5536
-4.5387 2.6204 8.5536
0.0000 -5.2408 8.5536
Rb Tb Y Te
4 3 1 8
Direct
0.0000 0.0000 0.0000 Rb
0.0000 0.5000 0.5000 Rb
0.5000 0.0000 0.5000 Rb
0.5000 0.5000 0.0000 Rb
0.0000 0.0000 0.5000 Tb
0.0000 0.5000 0.0000 Tb
0.5000 0.0000 0.0000 Tb
0.5000 0.5000 0.5000 Y
0.2334 0.2334 0.2334 Te
0.2339 0.7330 0.7330 Te
0.2670 0.2670 0.7661 Te
0.2670 0.7661 0.2670 Te
0.7330 0.2339 0.7330 Te
0.7330 0.7330 0.2339 Te
0.7661 0.2670 0.2670 Te
0.7666 0.7666 0.7666 Te
```

Values from the calculation:
**ΔE_f (raw)**: -1.393 eV per atom
**Space-group type**: R-3m, No. 166

=====

Record 7
The following is a DFT calculation (GGA-PBE) of a relaxed Rb3Tb2ZrTe6 crystal.

Geometry as POSCAR:
```
Rb3Tb2ZrTe6
1.0
3.8439 -6.6588 0.0000
3.8439 6.6588 0.0000
-2.5686 0.0000 8.5925
Rb Tb Zr Te
3 2 1 6
Direct
0.0000 0.0000 0.0000 Rb
0.3296 0.6704 0.0000 Rb
0.6704 0.3296 0.0000 Rb
0.1661 0.8339 0.5000 Tb
0.8339 0.1661 0.5000 Tb
0.5000 0.5000 0.5000 Zr
0.1127 0.4341 0.3020 Te
0.2455 0.2455 0.6995 Te
0.4341 0.1127 0.3020 Te
0.5659 0.8873 0.6980 Te
0.7545 0.7545 0.3005 Te
0.8873 0.5659 0.6980 Te
```

Values from the calculation:
**ΔE_f (raw)**: -1.219 eV per atom
**Space-group type**: C2/m, No. 12

=====

Record 8
The following is a DFT calculation (GGA-PBE) of a relaxed RbTbTl crystal.

Geometry as POSCAR:
```
RbTbTl
1.0
-2.0452 2.0452 15.0385
2.0452 -2.0452 15.0385
2.0452 2.0452 -15.0385
Rb Tb Tl
2 2 2
Direct
0.0788 0.0788 0.0000 Rb
0.9212 0.9212 0.0000 Rb
0.2130 0.2130 0.0000 Tb
0.7870 0.7870 0.0000 Tb
0.3342 0.3342 0.0000 Tl
0.6658 0.6658 0.0000 Tl
```

Values from the calculation:
**Energy relative to the elements**: -0.0889 eV/atom
**Space-group type**: I4/mmm, No. 139

=====

Record 9
The following is a DFT calculation (GGA-PBE) of a relaxed RbTbTm2 crystal.

Geometry as POSCAR:
```
RbTbTm2
1.0
1.7901 1.0335 13.0697
-1.7901 1.0335 13.0697
0.0000 -2.0670 13.0697
Rb Tb Tm
1 1 2
Direct
0.0000 0.0000 0.0000 Rb
0.5000 0.5000 0.5000 Tb
0.0955 0.0955 0.0955 Tm
0.9045 0.9045 0.9045 Tm
```

Values from the calculation:
**Energy relative to the elements**: 0.3252 eV/atom
**Space-group type**: R-3m, No. 166

=====

Record 10
The following is a DFT calculation (GGA-PBE) of a relaxed RbTc crystal.

Geometry as POSCAR:
```
RbTc
1.0
1.4637 0.8451 6.1783
-1.4637 0.8451 6.1783
0.0000 -1.6901 6.1783
Rb Tc
1 1
Direct
0.0000 0.0000 0.0000 Rb
0.5000 0.5000 0.5000 Tc
```

Values from the calculation:
**Energy relative to the elements**: 1.7623 eV/atom
**Excess energy over the best structure of this formula in the dataset**: 2.33 eV per formula unit
**Space-group type**: R-3m, No. 166

=====

| no. | spin magnetization (μB per formula unit) |
| --- | --- |
| 1 | 0.00 |
| 2 | 0.00 |
| 3 | 0.00 |
| 4 | 0.00 |
| 5 | 0.00 |
| 6 | 0.00 |
| 7 | 0.79 |
| 8 | 0.42 |
| 9 | 0.00 |
| 10 | 0.00 |